(1)
Compound: Y4Lu2Ge3N3
Source: OQMD via LeMat-Bulk
Functional: GGA-PBE
Structure: relaxed

## Properties
E	-352.1	eV per cell
volume	18.64	Å³/atom

```
data_Y4Lu2Ge3N3
_space_group_name_H-M_alt 'C 1 2/c 1'
_space_group_IT_number 15
_cell_length_a 10.429
_cell_length_b 6.020
_cell_length_c 14.674
_cell_angle_alpha 90.00
_cell_angle_beta 103.78
_cell_angle_gamma 90.00
loop_
_space_group_symop_operation_xyz
'x,y,z'
'-x,-y,-z'
'-x,y,-z+1/2'
'x,-y,z+1/2'
'x+1/2,y+1/2,z'
'-x+1/2,-y+1/2,-z'
'-x+1/2,y+1/2,-z+1/2'
'x+1/2,-y+1/2,z+1/2'
loop_
_atom_site_label
_atom_site_type_symbol
_atom_site_fract_x
_atom_site_fract_y
_atom_site_fract_z
Y1 Y 0.116 0.079 0.098
Y2 Y 0.216 0.085 0.402
Lu1 Lu 0.057 0.414 0.916
Ge1 Ge 0.000 0.129 0.750
Ge2 Ge 0.138 0.437 0.249
N1 N 0.082 0.255 0.500
N2 N 0.250 0.250 0.000
```

***

(2)
Compound: NdSmHf
Source: OQMD via LeMat-Bulk
Functional: GGA-PBE
Structure: relaxed

## Properties
energy of formation from the pure elements	0.84	eV per atom
relative energy among the computed polymorphs	0	kJ/mol of formula units
volume	34.47	Å³/atom

```
data_NdSmHf
_space_group_name_H-M_alt 'F -4 3 m'
_space_group_IT_number 216
_space_group_name_Hall 'F -4 2 3'
_cell_length_a 7.451
_cell_length_b 7.451
_cell_length_c 7.451
_cell_angle_alpha 90.00
_cell_angle_beta 90.00
_cell_angle_gamma 90.00
loop_
_atom_site_label
_atom_site_type_symbol
_atom_site_fract_x
_atom_site_fract_y
_atom_site_fract_z
Nd1 Nd 0.000 0.000 0.000
Sm1 Sm 0.000 0.000 0.500
Hf1 Hf 0.250 0.250 0.250
```

***

(3)
Compound: Mg2ScHg
Source: OQMD via LeMat-Bulk
Functional: GGA-PBE
Structure: relaxed

## Properties
E	-42.3	eV per cell
volume	21.60	Å³/atom

```
data_Mg2ScHg
_space_group_name_H-M_alt 'A m a 2'
_space_group_IT_number 40
_cell_length_a 4.949
_cell_length_b 10.320
_cell_length_c 6.768
_cell_angle_alpha 90.00
_cell_angle_beta 90.00
_cell_angle_gamma 90.00
loop_
_space_group_symop_operation_xyz
'x,y,z'
'-x,-y,z'
'-x+1/2,y,z'
'x+1/2,-y,z'
'x,y+1/2,z+1/2'
'-x,-y+1/2,z+1/2'
'-x+1/2,y+1/2,z+1/2'
'x+1/2,-y+1/2,z+1/2'
loop_
_atom_site_label
_atom_site_type_symbol
_atom_site_fract_x
_atom_site_fract_y
_atom_site_fract_z
Mg1 Mg 0.250 0.104 0.000
Mg2 Mg 0.250 0.353 0.743
Sc1 Sc 0.250 0.375 0.219
Hg1 Hg 0.250 0.133 0.473
```

***

(4)
Compound: Li3H2Pd
Source: OQMD via LeMat-Bulk
Functional: GGA-PBE
Structure: relaxed

## Properties
E	-20.1	eV per cell
volume	9.51	Å³/atom

```
data_Li3H2Pd
_space_group_name_H-M_alt 'P -3 m 1'
_space_group_IT_number 164
_space_group_name_Hall '-P 3 2"'
_cell_length_a 2.7436
_cell_length_b 2.7436
_cell_length_c 8.7528
_cell_angle_alpha 90.00
_cell_angle_beta 90.00
_cell_angle_gamma 120.00
loop_
_atom_site_label
_atom_site_type_symbol
_atom_site_fract_x
_atom_site_fract_y
_atom_site_fract_z
Li1 Li 0.0000 0.0000 0.0000
Li2 Li 0.3333 0.6667 0.7396
H1 H 0.3333 0.6667 0.1307
Pd1 Pd 0.0000 0.0000 0.5000
```

***

(5)
Compound: LaYZn2Ga2
Source: OQMD via LeMat-Bulk
Functional: GGA-PBE
Structure: relaxed

## Properties
E	-23.5	eV per cell
volume	21.75	Å³/atom

```
data_LaYZn2Ga2
_space_group_name_H-M_alt 'P 3 m 1'
_space_group_IT_number 156
_cell_length_a 4.4781
_cell_length_b 4.4781
_cell_length_c 7.5131
_cell_angle_alpha 90.00
_cell_angle_beta 90.00
_cell_angle_gamma 120.00
loop_
_space_group_symop_operation_xyz
'x,y,z'
'-y,x-y,z'
'-x+y,-x,z'
'-y,-x,z'
'-x+y,y,z'
'x,x-y,z'
loop_
_atom_site_label
_atom_site_type_symbol
_atom_site_fract_x
_atom_site_fract_y
_atom_site_fract_z
La1 La 0.0000 0.0000 0.0000
Y1 Y 0.0000 0.0000 0.4985
Zn1 Zn 0.3333 0.6667 0.7558
Zn2 Zn 0.6667 0.3333 0.2994
Ga1 Ga 0.3333 0.6667 0.2352
Ga2 Ga 0.6667 0.3333 0.7039
```

***

(6)
Compound: GdMgSi
Source: OQMD via LeMat-Bulk
Functional: GGA-PBE
Structure: relaxed

## Properties
E	-44.7	eV per cell
volume	26.43	Å³/atom

```
data_GdMgSi
_space_group_name_H-M_alt 'F -4 3 m'
_space_group_IT_number 216
_space_group_name_Hall 'F -4 2 3'
_cell_length_a 6.820
_cell_length_b 6.820
_cell_length_c 6.820
_cell_angle_alpha 90.00
_cell_angle_beta 90.00
_cell_angle_gamma 90.00
loop_
_atom_site_label
_atom_site_type_symbol
_atom_site_fract_x
_atom_site_fract_y
_atom_site_fract_z
Gd1 Gd 0.000 0.000 0.000
Mg1 Mg 0.250 0.250 0.750
Si1 Si 0.250 0.250 0.250
```